No. 1
Entry from Alexandria via LeMat-Bulk: a geometry-optimized MgAlCl structure (PBE).

Geometry as POSCAR:
```
MgAlCl
1.0
4.772 0.000 0.000
-2.386 4.132 0.000
0.000 0.000 3.312
Mg Cl Al
1 1 1
Cartesian
2.386 1.377 1.657 Mg
0.000 2.755 1.654 Cl
0.000 0.000 0.001 Al
```

The electronic total energy is -7.72 eV per formula unit. The calculation puts the uncorrected formation energy at -0.179 eV per atom. As for the volume: 21.77 A^3/atom. The space group is P-6m2.

***

No. 2
Entry from Alexandria via LeMat-Bulk: a geometry-optimized SrMgMo2 structure (PBE).

Geometry as POSCAR:
```
SrMgMo2
1.0
-0.632 3.390 -0.627
-4.433 -0.923 -0.526
-0.759 0.787 5.016
Mo Mg Sr
2 1 1
Cartesian
-2.532 1.233 -0.577 Mo
0.000 0.000 0.000 Mo
-2.596 -0.068 2.245 Mg
-0.695 2.088 2.194 Sr
```

The electronic total energy is -21.11 eV per formula unit. As for the volume: 20.50 A^3/atom. The space group is Pmmm. For the energy relative to the elements, the calculation gives 3.829 eV per formula unit.

***

No. 3
Entry from Alexandria via LeMat-Bulk: a geometry-optimized Pt3CSe structure (PBE).

Geometry as POSCAR:
```
Pt3CSe
1.0
-3.887 -0.928 -1.422
-0.738 -2.277 3.501
-1.530 3.456 1.925
Pt C Se
3 1 1
Cartesian
-0.765 1.728 0.963 Pt
-0.369 -1.139 1.751 Pt
-1.943 -0.464 -0.711 Pt
0.000 0.000 0.000 C
-3.077 0.125 2.002 Se
```

The electronic total energy is -27.93 eV per formula unit. The calculation puts the uncorrected formation energy at 0.580 eV per atom. As for the volume: 15.26 A^3/atom. The space group is Pm-3m.